No. 1
# CsNa2LiTl, optimized geometry, DFT PBE
data_CsNa2LiTl
_chemical_formula_sum 'Cs1 Na2 Li1 Tl1'
_symmetry_space_group_name_H-M 'P 4/m m m'
_symmetry_Int_Tables_number 123
_symmetry_space_group_name_Hall '-P 4 2'
_cell_length_a 6.049
_cell_length_b 6.049
_cell_length_c 5.492
_cell_angle_alpha 90.00
_cell_angle_beta 90.00
_cell_angle_gamma 90.00
loop_
_atom_site_label
_atom_site_type_symbol
_atom_site_fract_x
_atom_site_fract_y
_atom_site_fract_z
Cs1 Cs 0.000 0.000 0.000
Na1 Na 0.000 0.500 0.500
Li1 Li 0.500 0.500 0.500
Tl1 Tl 0.500 0.500 0.000
# **Formation energy from the elements**: 40 meV per atom
# **Total moment**: 0.00 μB/cell
# **Uncorrected energy**: -1.51 eV/atom

No. 2
# Dy4S3, optimized geometry, DFT PBE
data_Dy4S3
_chemical_formula_sum 'Dy12 S9'
_symmetry_space_group_name_H-M 'R -3 m'
_symmetry_Int_Tables_number 166
_symmetry_space_group_name_Hall '-R 3 2"'
_cell_length_a 3.8401
_cell_length_b 3.8401
_cell_length_c 38.0620
_cell_angle_alpha 90.00
_cell_angle_beta 90.00
_cell_angle_gamma 120.00
loop_
_atom_site_label
_atom_site_type_symbol
_atom_site_fract_x
_atom_site_fract_y
_atom_site_fract_z
Dy1 Dy 0.0000 0.0000 0.1219
Dy2 Dy 0.0000 0.0000 0.3720
S1 S 0.0000 0.0000 0.2523
S2 S 0.0000 0.0000 0.5000
# **Uncorrected formation energy**: -1.693 eV/atom
# **Total moment**: 0.00 μB/cell
# **Uncorrected energy**: -6.09 eV/atom

No. 3
# Pr2Ga4RuPt3, optimized geometry, DFT PBE
data_Pr2Ga4RuPt3
_chemical_formula_sum 'Pr2 Ga4 Ru1 Pt3'
_symmetry_space_group_name_H-M 'P -4 m 2'
_symmetry_Int_Tables_number 115
_symmetry_space_group_name_Hall 'P -4 -2'
_cell_length_a 4.360
_cell_length_b 4.360
_cell_length_c 10.195
_cell_angle_alpha 90.00
_cell_angle_beta 90.00
_cell_angle_gamma 90.00
loop_
_atom_site_label
_atom_site_type_symbol
_atom_site_fract_x
_atom_site_fract_y
_atom_site_fract_z
Pr1 Pr 0.000 0.500 0.241
Ga1 Ga 0.000 0.000 0.500
Ga2 Ga 0.000 0.500 0.876
Ga3 Ga 0.500 0.500 0.500
Ru1 Ru 0.500 0.500 0.000
Pt1 Pt 0.000 0.000 0.000
Pt2 Pt 0.000 0.500 0.630
# **Formation energy from the elements**: -870 meV per atom
# **Total moment**: 0.00 μB/cell
# **Uncorrected energy**: -5.78 eV/atom